A geometry-optimized LaNb2IrBr structure. Source: Alexandria, functional PBE.

Calculated values
ΔE_f (raw) = 0.76 eV per atom

Cell lengths 4.827, 4.855, 4.827 Å; angles 90.00, 90.00, 90.00 degrees
Fractional coordinates of all 5 atoms:
Nb1 0.000 0.000 0.500
Nb2 0.500 0.000 0.000
Br1 0.000 0.000 0.000
Ir1 0.000 0.500 0.000
La1 0.500 0.500 0.500